(1)
Entry from the Alexandria database: a geometry-optimized MgMn2SiO6 structure (GGA+U).

Lattice parameters (Å, degrees): 4.914 4.927 5.296 62.30 62.51 60.15
Positions (direct):
1 Mg 0.000 0.000 0.000
2 Mn 0.201 0.199 0.397
3 Mn 0.707 0.705 0.878
4 Si 0.509 0.511 0.469
5 O 0.142 0.772 0.666
6 O 0.317 0.593 0.200
7 O 0.420 0.142 0.666
8 O 0.595 0.887 0.199
9 O 0.771 0.422 0.666
10 O 0.888 0.317 0.201

Properties
spin magnetization	0.40	μB per atom
raw total energy	-70.5	eV per formula unit

---

(2)
Entry from the Alexandria database: a geometry-optimized MgMnSi4O10 structure (GGA+U).

Lattice parameters (Å, degrees): 7.380 7.380 14.919 90.00 90.00 90.00
Positions (direct):
1 Mg 0.250 0.750 0.000
2 Mg 0.250 0.750 0.500
3 Mg 0.750 0.250 0.000
4 Mg 0.750 0.250 0.500
5 Mn 0.250 0.250 0.061
6 Mn 0.250 0.250 0.561
7 Mn 0.750 0.750 0.439
8 Mn 0.750 0.750 0.939
9 Si 0.011 0.594 0.145
10 Si 0.011 0.906 0.645
11 Si 0.094 0.511 0.355
12 Si 0.094 0.989 0.855
13 Si 0.406 0.511 0.855
14 Si 0.406 0.989 0.355
15 Si 0.489 0.594 0.645
16 Si 0.489 0.906 0.145
17 Si 0.511 0.094 0.855
18 Si 0.511 0.406 0.355
19 Si 0.594 0.011 0.645
20 Si 0.594 0.489 0.145
21 Si 0.906 0.011 0.145
22 Si 0.906 0.489 0.645
23 Si 0.989 0.094 0.355
24 Si 0.989 0.406 0.855
25 O 0.006 0.188 0.874
26 O 0.006 0.312 0.374
27 O 0.026 0.663 0.425
28 O 0.026 0.837 0.925
29 O 0.062 0.562 0.250
30 O 0.062 0.938 0.750
31 O 0.163 0.526 0.075
32 O 0.163 0.974 0.575
33 O 0.188 0.006 0.374
34 O 0.188 0.494 0.874
35 O 0.312 0.006 0.874
36 O 0.312 0.494 0.374
37 O 0.337 0.526 0.575
38 O 0.337 0.974 0.075
39 O 0.438 0.562 0.750
40 O 0.438 0.938 0.250
41 O 0.474 0.663 0.925
42 O 0.474 0.837 0.425
43 O 0.494 0.188 0.374
44 O 0.494 0.312 0.874
45 O 0.506 0.688 0.126
46 O 0.506 0.812 0.626
47 O 0.526 0.163 0.575
48 O 0.526 0.337 0.075
49 O 0.562 0.062 0.750
50 O 0.562 0.438 0.250
51 O 0.663 0.026 0.925
52 O 0.663 0.474 0.425
53 O 0.688 0.506 0.626
54 O 0.688 0.994 0.126
55 O 0.812 0.506 0.126
56 O 0.812 0.994 0.626
57 O 0.837 0.026 0.425
58 O 0.837 0.474 0.925
59 O 0.938 0.062 0.250
60 O 0.938 0.438 0.750
61 O 0.974 0.163 0.075
62 O 0.974 0.337 0.575
63 O 0.994 0.688 0.626
64 O 0.994 0.812 0.126

Properties
spin magnetization	0.31	μB per atom
raw total energy	-122.2	eV per formula unit

---

(3)
Entry from the Alexandria database: a geometry-optimized MgMnSiO4 structure (GGA+U).

Lattice parameters (Å, degrees): 10.684 6.202 4.840 90.00 90.00 90.00
Positions (direct):
1 Mg 0.000 0.000 0.000
2 Mg 0.000 0.500 0.000
3 Mg 0.500 0.000 0.500
4 Mg 0.500 0.500 0.500
5 Mn 0.221 0.250 0.488
6 Mn 0.279 0.750 0.988
7 Mn 0.721 0.250 0.012
8 Mn 0.779 0.750 0.512
9 Si 0.089 0.750 0.421
10 Si 0.411 0.250 0.921
11 Si 0.589 0.750 0.079
12 Si 0.911 0.250 0.579
13 O 0.051 0.250 0.734
14 O 0.085 0.750 0.758
15 O 0.157 0.537 0.277
16 O 0.157 0.963 0.277
17 O 0.343 0.037 0.777
18 O 0.343 0.463 0.777
19 O 0.415 0.250 0.258
20 O 0.449 0.750 0.234
21 O 0.551 0.250 0.766
22 O 0.585 0.750 0.742
23 O 0.657 0.537 0.223
24 O 0.657 0.963 0.223
25 O 0.843 0.037 0.723
26 O 0.843 0.463 0.723
27 O 0.915 0.250 0.242
28 O 0.949 0.750 0.266

Properties
spin magnetization	0.71	μB per atom
raw total energy	-51.9	eV per formula unit

---

(4)
Entry from the Alexandria database: a geometry-optimized Sm4MgTi2Mn2O12 structure (GGA+U).

Lattice parameters (Å, degrees): 5.499 6.001 8.481 93.92 92.64 90.63
Positions (direct):
1 Sm 0.000 0.000 0.000
2 Sm 0.044 0.783 0.553
3 Sm 0.470 0.300 0.548
4 Sm 0.584 0.490 0.986
5 Mg 0.918 0.181 0.366
6 Ti 0.029 0.391 0.767
7 Ti 0.493 0.843 0.274
8 Mn 0.086 0.523 0.185
9 Mn 0.507 0.902 0.798
10 O 0.187 0.360 0.980
11 O 0.213 0.086 0.707
12 O 0.241 0.059 0.354
13 O 0.328 0.603 0.377
14 O 0.329 0.582 0.721
15 O 0.379 0.852 0.043
16 O 0.702 0.970 0.465
17 O 0.727 0.202 0.812
18 O 0.802 0.271 0.165
19 O 0.814 0.759 0.177
20 O 0.843 0.705 0.819
21 O 0.890 0.417 0.539

Properties
spin magnetization	0.48	μB per atom
energy above the lowest structure with this stoichiometry	0	meV/atom

---

(5)
Entry from the Alexandria database: a geometry-optimized Sm4MgTi2Mn2O12 structure (GGA+U).

Lattice parameters (Å, degrees): 5.560 6.119 7.890 87.58 87.56 87.08
Positions (direct):
1 Sm 0.000 0.000 0.000
2 Sm 0.070 0.838 0.494
3 Sm 0.550 0.321 0.491
4 Sm 0.647 0.542 0.053
5 Mg 0.438 0.194 0.894
6 Ti 0.085 0.409 0.264
7 Ti 0.531 0.821 0.733
8 Mn 0.046 0.430 0.750
9 Mn 0.557 0.922 0.268
10 O 0.196 0.369 0.012
11 O 0.253 0.118 0.330
12 O 0.272 0.086 0.704
13 O 0.355 0.592 0.672
14 O 0.383 0.592 0.303
15 O 0.449 0.893 0.990
16 O 0.682 0.949 0.520
17 O 0.757 0.266 0.840
18 O 0.771 0.226 0.213
19 O 0.868 0.741 0.813
20 O 0.902 0.736 0.204
21 O 0.940 0.462 0.494

Properties
spin magnetization	0.38	μB per atom
energy above the lowest structure with this stoichiometry	146	meV/atom

---

(6)
Entry from the Alexandria database: a geometry-optimized Mg2MnSnO6 structure (GGA+U).

Lattice parameters (Å, degrees): 5.501 5.501 5.501 56.27 56.27 56.27
Positions (direct):
1 Mg 0.000 0.000 0.000
2 Mg 0.496 0.496 0.496
3 Mn 0.793 0.793 0.793
4 Sn 0.287 0.287 0.287
5 O 0.067 0.420 0.686
6 O 0.175 0.893 0.592
7 O 0.420 0.686 0.067
8 O 0.592 0.175 0.893
9 O 0.686 0.067 0.420
10 O 0.893 0.592 0.175

Properties
spin magnetization	0.30	μB per atom
raw total energy	-64.1	eV per formula unit